Entry 1:
# K2MnAl

An optimized crystal structure of K2MnAl (GGA-PBEsol, Alexandria).

Cell: 9.2104 9.2104 9.2104 Å, 93.99 93.99 149.40°
With the nearest neighbours (Å) after each atom.
Fractional positions:
1 K 0.3750 0.2014 0.3264  2 Mn 3.34
2 K 0.7986 0.1250 0.1736  2 Mn 3.34
3 K 0.8750 0.0486 0.6736  2 Mn 3.34
4 K 0.9514 0.6250 0.8264  2 Mn 3.34
5 Mn 0.0000 0.0000 0.0000  2 Al 2.43
6 Mn 0.7500 0.2500 0.5000  2 Al 2.43
7 Al 0.2500 0.7500 0.5000  2 Mn 2.43
8 Al 0.5000 0.5000 0.0000  2 Mn 2.43

Calculated values
The calculation puts the total energy at -12.85 eV per formula unit. The volume comes out at 192 Å³/f.u. Its symmetry is No. 122. The value obtained for the density of states at the Fermi level is 3.45 states/eV/f.u.

---

Entry 2:
# K2MnAl

An optimized crystal structure of K2MnAl (GGA-PBEsol, Alexandria).

Cell: 3.2262 3.2262 11.4638 Å, 90.00 90.00 95.12°
With the nearest neighbours (Å) after each atom.
Fractional positions:
1 K 0.0000 0.0000 0.2470  4 K 3.23, 2 Al 3.57
2 K 0.0000 0.0000 0.7530  4 K 3.23, 2 Al 3.57
3 Mn 0.5000 0.5000 0.5000  4 Mn 3.23
4 Al 0.5000 0.5000 0.0000  4 Al 3.23, 4 K 3.57

Calculated values
The calculation puts the total energy at -12.35 eV per formula unit. The volume comes out at 119 Å³/f.u. Its symmetry is No. 65. The value obtained for the density of states at the Fermi level is 4.49 states/eV/f.u.

---

Entry 3:
# KMnAl2

An optimized crystal structure of KMnAl2 (GGA-PBEsol, Alexandria).

Cell: 4.8347 4.8347 4.8347 Å, 60.00 60.00 60.00°
With the nearest neighbours (Å) after each atom.
Fractional positions:
1 K 0.0000 0.0000 0.0000  8 Al 2.96
2 Mn 0.5000 0.5000 0.5000  8 Al 2.96
3 Al 0.2500 0.2500 0.2500  4 Mn 2.96, 4 K 2.96
4 Al 0.7500 0.7500 0.7500  4 Mn 2.96, 4 K 2.96

Calculated values
The calculation puts the total energy at -16.41 eV per formula unit. The volume comes out at 80 Å³/f.u. Its symmetry is No. 225. The value obtained for the density of states at the Fermi level is 2.07 states/eV/f.u. The value obtained for the relative energy among the computed polymorphs is 0.000 eV per atom.

---

Entry 4:
# KMnAlMo2

An optimized crystal structure of KMnAlMo2 (GGA-PBEsol, Alexandria).

Cell: 4.7133 4.7133 5.2916 Å, 90.00 90.00 90.00°
With the nearest neighbours (Å) after each atom.
Fractional positions:
1 K 0.0000 0.0000 0.0000  2 Al 2.65
2 Mn 0.5000 0.5000 0.0000  4 K 3.33, 8 Mo 3.54
3 Al 0.0000 0.0000 0.5000  4 Mo 2.36
4 Mo 0.0000 0.5000 0.5000  2 Al 2.36
5 Mo 0.5000 0.0000 0.5000  2 Al 2.36

Calculated values
The calculation puts the total energy at -28.04 eV per formula unit. The volume comes out at 118 Å³/f.u. Its symmetry is No. 123. The value obtained for the density of states at the Fermi level is 6.16 states/eV/f.u.

---

Entry 5:
# KAlMo

An optimized crystal structure of KAlMo (GGA-PBEsol, Alexandria).

Cell: 8.2246 8.2246 8.2246 Å, 160.77 160.77 27.33°
With the nearest neighbours (Å) after each atom.
Fractional positions:
1 K 0.0000 0.0000 0.0000  4 K 2.75
2 Al 0.3161 0.3161 0.0000  4 Al 2.75, 4 Mo 2.78
3 Mo 0.6918 0.6918 0.0000  4 Mo 2.75, 4 Al 2.78

Calculated values
The calculation puts the total energy at -14.95 eV per formula unit. The volume comes out at 60 Å³/f.u. Its symmetry is No. 107. The value obtained for the density of states at the Fermi level is 2.30 states/eV/f.u.

---

Entry 6:
# K3AlMo

An optimized crystal structure of K3AlMo (GGA-PBEsol, Alexandria).

Cell: 6.4378 6.4378 6.4378 Å, 90.00 90.00 90.00°
With the nearest neighbours (Å) after each atom.
Fractional positions:
1 K 0.0000 0.0000 0.5000  2 Al 3.22
2 K 0.0000 0.5000 0.0000  2 Al 3.22
3 K 0.5000 0.0000 0.0000  2 Al 3.22
4 Al 0.0000 0.0000 0.0000  6 K 3.22
5 Mo 0.5000 0.5000 0.5000  12 K 4.55

Calculated values
The calculation puts the total energy at -11.52 eV per formula unit. The volume comes out at 267 Å³/f.u. Its symmetry is No. 221. The value obtained for the density of states at the Fermi level is 4.31 states/eV/f.u.

---

Entry 7:
# K2AlMo3P8O28

An optimized crystal structure of K2AlMo3P8O28 (GGA-PBEsol, Alexandria).

Cell: 7.5430 9.1697 9.5500 Å, 117.57 103.28 100.12°
With the nearest neighbours (Å) after each atom.
Fractional positions:
1 K 0.0000 0.0000 0.0000  4 O 2.60-2.78
2 K 0.0000 0.5000 0.5000  4 O 2.54-2.76
3 Al 0.5000 0.0000 0.0000  6 O 1.87-1.97
4 Mo 0.0037 0.7499 0.2528  6 O 2.00-2.06
5 Mo 0.5000 0.5000 0.5000  6 O 1.99-2.07
6 Mo 0.9963 0.2501 0.7472  6 O 2.00-2.06
7 P 0.2406 0.4582 0.1542  4 O 1.52-1.61
8 P 0.2426 0.9642 0.6654  4 O 1.52-1.62
9 P 0.3825 0.5856 0.8312  4 O 1.50-1.61
10 P 0.3848 0.0719 0.3160  4 O 1.51-1.60
11 P 0.6152 0.9281 0.6840  4 O 1.51-1.60
12 P 0.6175 0.4144 0.1688  4 O 1.50-1.61
13 P 0.7574 0.0358 0.3346  4 O 1.52-1.62
14 P 0.7594 0.5418 0.8458  4 O 1.52-1.61
15 O 0.0955 0.2993 0.9874  1 P 1.53
16 O 0.1042 0.8012 0.4958  1 P 1.54
17 O 0.1865 0.1250 0.6965  1 P 1.52
18 O 0.1951 0.6253 0.1971  1 P 1.52
19 O 0.2011 0.4776 0.8254  1 P 1.51
20 O 0.2021 0.9721 0.3156  1 P 1.51
21 O 0.2565 0.4149 0.2933  1 P 1.54
22 O 0.2673 0.9283 0.8086  1 P 1.53
23 O 0.3505 0.5576 0.6534  1 P 1.55
24 O 0.3615 0.0570 0.1466  1 P 1.52
25 O 0.4430 0.7751 0.9652  1 P 1.50
26 O 0.4478 0.4926 0.1346  2 P 1.61
27 O 0.4496 0.0074 0.6461  2 P 1.60-1.62
28 O 0.4524 0.2617 0.4624  1 P 1.53
29 O 0.5476 0.7383 0.5376  1 P 1.53
30 O 0.5504 0.9926 0.3539  2 P 1.60-1.62
31 O 0.5522 0.5074 0.8654  2 P 1.61
32 O 0.5570 0.2249 0.0348  1 P 1.50
33 O 0.6385 0.9430 0.8534  1 P 1.52
34 O 0.6495 0.4424 0.3466  1 P 1.55
35 O 0.7327 0.0717 0.1914  1 P 1.53
36 O 0.7435 0.5851 0.7067  1 P 1.54
37 O 0.7979 0.0279 0.6844  1 P 1.51
38 O 0.7989 0.5224 0.1746  1 P 1.51
39 O 0.8049 0.3747 0.8029  1 P 1.52
40 O 0.8135 0.8750 0.3035  1 P 1.52
41 O 0.8958 0.1988 0.5042  1 P 1.54
42 O 0.9045 0.7007 0.0126  1 P 1.53

Calculated values
The calculation puts the total energy at -327.07 eV per formula unit. The volume comes out at 539 Å³/f.u. Its symmetry is No. 2. The value obtained for the density of states at the Fermi level is 12.15 states/eV/f.u.

---

Entry 8:
# K2SrAlN

An optimized crystal structure of K2SrAlN (GGA-PBEsol, Alexandria).

Cell: 6.9751 6.9751 3.6480 Å, 90.00 90.00 90.00°
With the nearest neighbours (Å) after each atom.
Fractional positions:
1 K 0.0000 0.5000 0.0000  2 N 3.49, 2 K 3.65
2 K 0.5000 0.0000 0.0000  2 N 3.49, 2 K 3.65
3 Sr 0.0000 0.0000 0.5000  2 Sr 3.65, 8 K 3.94
4 Al 0.5000 0.5000 0.5000  2 N 1.82
5 N 0.5000 0.5000 0.0000  2 Al 1.82

Calculated values
The calculation puts the total energy at -15.43 eV per formula unit. The volume comes out at 177 Å³/f.u. Its symmetry is No. 123. The value obtained for the density of states at the Fermi level is 4.13 states/eV/f.u.

---

Entry 9:
# KAlTeN2

An optimized crystal structure of KAlTeN2 (GGA-PBEsol, Alexandria).

Cell: 4.7079 4.7079 6.6492 Å, 90.00 90.00 90.00°
With the nearest neighbours (Å) after each atom.
Fractional positions:
1 K 0.0000 0.0000 0.0000  4 N 2.35
2 Al 0.5000 0.5000 0.5000  4 Te 3.33
3 Te 0.0000 0.0000 0.5000  2 K 3.32, 4 Al 3.33
4 N 0.0000 0.5000 0.0000  2 K 2.35
5 N 0.5000 0.0000 0.0000  2 K 2.35

Calculated values
The calculation puts the total energy at -15.49 eV per formula unit. The volume comes out at 147 Å³/f.u. Its symmetry is No. 123. The value obtained for the density of states at the Fermi level is 3.16 states/eV/f.u.

---

Question: What is the formula in the ninth record?
Answer: KAlTeN2